Record 1
{
  "formula": "Dy2Al3Zn4Cd",
  "functional": "GGA-PBE",
  "state": "optimized geometry",
  "vol_a3_per_atom": 19.287,
  "m_tot_mub_per_fu": 0.000,
  "formation_energy_ev_per_atom": -0.3151,
  "cell": [[4.220, 0.000, 0.000], [0.000, 4.220, 0.000], [0.000, 0.000, 10.829]],
  "species": ["Dy", "Dy", "Al", "Al", "Al", "Zn", "Zn", "Zn", "Zn", "Cd"],
  "frac_coords": [[0.000, 0.500, 0.238], [0.500, 0.000, 0.762], [0.000, 0.500, 0.869], [0.500, 0.000, 0.131], [0.500, 0.500, 0.500], [0.000, 0.000, 0.000], [0.000, 0.500, 0.646], [0.500, 0.000, 0.354], [0.500, 0.500, 0.000], [0.000, 0.000, 0.500]]
}

Record 2
{
  "formula": "Dy4AlZnCd2",
  "functional": "GGA-PBE",
  "state": "optimized geometry",
  "vol_a3_per_atom": 24.736,
  "m_tot_mub_per_fu": 0.000,
  "formation_energy_ev_per_atom": -0.3304,
  "cell": [[2.595, 1.498, 8.486], [-2.595, 1.498, 8.486], [0.000, -2.996, 8.486]],
  "species": ["Dy", "Dy", "Dy", "Dy", "Al", "Zn", "Cd", "Cd"],
  "frac_coords": [[0.124, 0.124, 0.124], [0.374, 0.374, 0.374], [0.626, 0.626, 0.626], [0.876, 0.876, 0.876], [0.500, 0.500, 0.500], [0.000, 0.000, 0.000], [0.249, 0.249, 0.249], [0.751, 0.751, 0.751]]
}

Record 3
{
  "formula": "DyZrAlCd",
  "functional": "GGA-PBE",
  "state": "optimized geometry",
  "vol_a3_per_atom": 22.492,
  "m_tot_mub_per_fu": 0.000,
  "formation_energy_ev_per_atom": -0.2430,
  "cell": [[7.113, 0.000, 0.000], [0.000, 7.113, 0.000], [0.000, 0.000, 7.113]],
  "species": ["Dy", "Dy", "Dy", "Dy", "Zr", "Zr", "Zr", "Zr", "Al", "Al", "Al", "Al", "Cd", "Cd", "Cd", "Cd"],
  "frac_coords": [[0.000, 0.000, 0.000], [0.000, 0.500, 0.500], [0.500, 0.000, 0.500], [0.500, 0.500, 0.000], [0.000, 0.000, 0.500], [0.000, 0.500, 0.000], [0.500, 0.000, 0.000], [0.500, 0.500, 0.500], [0.250, 0.250, 0.250], [0.250, 0.750, 0.750], [0.750, 0.250, 0.750], [0.750, 0.750, 0.250], [0.250, 0.250, 0.750], [0.250, 0.750, 0.250], [0.750, 0.250, 0.250], [0.750, 0.750, 0.750]]
}

Record 4
{
  "formula": "ErAlCd",
  "functional": "GGA-PBE",
  "state": "optimized geometry",
  "vol_a3_per_atom": 22.522,
  "m_tot_mub_per_fu": 0.000,
  "formation_energy_ev_per_atom": -0.3605,
  "cell": [[10.797, 0.000, 0.000], [0.000, 4.663, 0.000], [-4.645, 0.000, 5.368]],
  "species": ["Er", "Er", "Er", "Er", "Al", "Al", "Al", "Al", "Cd", "Cd", "Cd", "Cd"],
  "frac_coords": [[0.024, 0.000, 0.273], [0.476, 0.500, 0.727], [0.524, 0.500, 0.273], [0.976, 0.000, 0.727], [0.159, 0.500, 0.678], [0.341, 0.000, 0.322], [0.659, 0.000, 0.678], [0.841, 0.500, 0.322], [0.171, 0.500, 0.132], [0.329, 0.000, 0.868], [0.671, 0.000, 0.132], [0.829, 0.500, 0.868]]
}

Record 5
{
  "formula": "Er4Al12Cd",
  "functional": "GGA-PBE",
  "state": "optimized geometry",
  "vol_a3_per_atom": 19.590,
  "m_tot_mub_per_fu": 0.000,
  "formation_energy_ev_per_atom": -0.3481,
  "cell": [[-4.367, 4.367, 4.367], [4.367, -4.367, 4.367], [4.367, 4.367, -4.367]],
  "species": ["Er", "Er", "Er", "Er", "Al", "Al", "Al", "Al", "Al", "Al", "Al", "Al", "Al", "Al", "Al", "Al", "Cd"],
  "frac_coords": [[0.000, 0.000, 0.500], [0.000, 0.500, 0.000], [0.500, 0.000, 0.000], [0.500, 0.500, 0.500], [0.000, 0.312, 0.312], [0.000, 0.688, 0.688], [0.250, 0.500, 0.750], [0.250, 0.750, 0.500], [0.312, 0.000, 0.312], [0.312, 0.312, 0.000], [0.500, 0.250, 0.750], [0.500, 0.750, 0.250], [0.688, 0.000, 0.688], [0.688, 0.688, 0.000], [0.750, 0.250, 0.500], [0.750, 0.500, 0.250], [0.000, 0.000, 0.000]]
}

Record 6
{
  "formula": "Er12Al5Cd2",
  "functional": "GGA-PBE",
  "state": "optimized geometry",
  "vol_a3_per_atom": 27.209,
  "m_tot_mub_per_fu": 0.000,
  "formation_energy_ev_per_atom": -0.0491,
  "cell": [[7.465, -4.185, 0.000], [7.465, 4.185, 0.000], [-0.463, 0.000, 8.275]],
  "species": ["Er", "Er", "Er", "Er", "Er", "Er", "Er", "Er", "Er", "Er", "Er", "Er", "Al", "Al", "Al", "Al", "Al", "Cd", "Cd"],
  "frac_coords": [[0.041, 0.041, 0.193], [0.082, 0.637, 0.089], [0.129, 0.527, 0.662], [0.363, 0.918, 0.911], [0.441, 0.441, 0.340], [0.473, 0.871, 0.338], [0.527, 0.129, 0.662], [0.559, 0.559, 0.660], [0.637, 0.082, 0.089], [0.871, 0.473, 0.338], [0.918, 0.363, 0.911], [0.959, 0.959, 0.807], [0.155, 0.155, 0.577], [0.243, 0.243, 0.184], [0.500, 0.500, 0.000], [0.757, 0.757, 0.816], [0.845, 0.845, 0.423], [0.186, 0.814, 0.500], [0.814, 0.186, 0.500]]
}

Record 7
{
  "formula": "ErAl2Cd",
  "functional": "GGA-PBE",
  "state": "optimized geometry",
  "vol_a3_per_atom": 21.912,
  "m_tot_mub_per_fu": 0.000,
  "formation_energy_ev_per_atom": -0.1427,
  "cell": [[4.494, 0.000, 0.000], [-2.247, 3.892, 0.000], [0.000, 0.000, 15.036]],
  "species": ["Er", "Er", "Er", "Al", "Al", "Al", "Al", "Al", "Al", "Cd", "Cd", "Cd"],
  "frac_coords": [[0.000, 0.000, 0.000], [0.333, 0.667, 0.667], [0.667, 0.333, 0.333], [0.000, 0.000, 0.221], [0.000, 0.000, 0.779], [0.333, 0.667, 0.446], [0.333, 0.667, 0.887], [0.667, 0.333, 0.113], [0.667, 0.333, 0.554], [0.000, 0.000, 0.500], [0.333, 0.667, 0.167], [0.667, 0.333, 0.833]]
}

Record 8
{
  "formula": "Er3Al2Cd3",
  "functional": "GGA-PBE",
  "state": "optimized geometry",
  "vol_a3_per_atom": 23.822,
  "m_tot_mub_per_fu": 0.000,
  "formation_energy_ev_per_atom": -0.3005,
  "cell": [[2.290, -5.469, 0.000], [2.290, 5.469, 0.000], [0.000, 0.000, 15.217]],
  "species": ["Er", "Er", "Er", "Er", "Er", "Er", "Al", "Al", "Al", "Al", "Cd", "Cd", "Cd", "Cd", "Cd", "Cd"],
  "frac_coords": [[0.084, 0.916, 0.611], [0.084, 0.916, 0.889], [0.356, 0.644, 0.750], [0.644, 0.356, 0.250], [0.916, 0.084, 0.111], [0.916, 0.084, 0.389], [0.206, 0.794, 0.109], [0.206, 0.794, 0.391], [0.794, 0.206, 0.609], [0.794, 0.206, 0.891], [0.360, 0.640, 0.250], [0.378, 0.622, 0.536], [0.378, 0.622, 0.964], [0.622, 0.378, 0.036], [0.622, 0.378, 0.464], [0.640, 0.360, 0.750]]
}

Record 9
{
  "formula": "ErAlCd",
  "functional": "GGA-PBE",
  "state": "optimized geometry",
  "vol_a3_per_atom": 22.383,
  "m_tot_mub_per_fu": 0.000,
  "formation_energy_ev_per_atom": -0.3662,
  "cell": [[4.693, 0.000, 0.000], [-2.346, 4.064, 0.000], [0.000, 0.000, 3.521]],
  "species": ["Er", "Al", "Cd"],
  "frac_coords": [[0.000, 0.000, 0.000], [0.667, 0.333, 0.500], [0.333, 0.667, 0.500]]
}

Record 10
{
  "formula": "ErAlCd2",
  "functional": "GGA-PBE",
  "state": "optimized geometry",
  "vol_a3_per_atom": 22.213,
  "de_polymorph_mev_per_atom": 0,
  "m_tot_mub_per_fu": 0.000,
  "formation_energy_ev_per_atom": -0.2491,
  "cell": [[4.364, 0.000, 0.000], [0.000, 4.364, 0.000], [0.000, 0.000, 4.666]],
  "species": ["Er", "Al", "Cd", "Cd"],
  "frac_coords": [[0.000, 0.000, 0.000], [0.500, 0.500, 0.000], [0.000, 0.500, 0.500], [0.500, 0.000, 0.500]]
}

Record 11
{
  "formula": "Er7Al5Cd",
  "functional": "GGA-PBE",
  "state": "optimized geometry",
  "vol_a3_per_atom": 24.743,
  "m_tot_mub_per_fu": 0.001,
  "formation_energy_ev_per_atom": -0.2116,
  "cell": [[-3.100, 4.932, 5.259], [3.100, -4.932, 5.259], [3.100, 4.932, -5.259]],
  "species": ["Er", "Er", "Er", "Er", "Er", "Er", "Er", "Al", "Al", "Al", "Al", "Al", "Cd"],
  "frac_coords": [[0.000, 0.000, 0.000], [0.093, 0.778, 0.316], [0.363, 0.363, 0.000], [0.462, 0.778, 0.684], [0.533, 0.033, 0.500], [0.616, 0.285, 0.331], [0.954, 0.285, 0.669], [0.034, 0.534, 0.500], [0.282, 0.303, 0.532], [0.282, 0.750, 0.979], [0.771, 0.303, 0.021], [0.771, 0.750, 0.468], [0.686, 0.686, 0.000]]
}

Record 12
{
  "formula": "Er6Al5Cd",
  "functional": "GGA-PBE",
  "state": "optimized geometry",
  "vol_a3_per_atom": 23.200,
  "m_tot_mub_per_fu": 0.000,
  "formation_energy_ev_per_atom": -0.3825,
  "cell": [[2.549, -7.651, 0.000], [2.549, 7.651, 0.000], [0.000, 0.000, 7.137]],
  "species": ["Er", "Er", "Er", "Er", "Er", "Er", "Al", "Al", "Al", "Al", "Al", "Cd"],
  "frac_coords": [[0.000, 0.000, 0.246], [0.000, 0.000, 0.754], [0.331, 0.669, 0.248], [0.331, 0.669, 0.752], [0.669, 0.331, 0.248], [0.669, 0.331, 0.752], [0.164, 0.836, 0.500], [0.166, 0.834, 0.000], [0.500, 0.500, 0.000], [0.834, 0.166, 0.000], [0.836, 0.164, 0.500], [0.500, 0.500, 0.500]]
}